Below is a relaxed Ce7ThPb4 crystal, with properties calculated at the PBE level.

Unit cell a=5.967 b=10.570 c=6.745 alpha=83.91 beta=63.75 gamma=73.61
Sites, in units of the cell vectors:
Ce 0.371 0.539 0.719
Ce 0.629 0.461 0.281
Ce 0.801 0.895 0.504
Pb 0.400 0.788 0.412
Pb 0.727 0.671 0.875
Th 0.000 0.000 0.000
Pb 0.600 0.212 0.588
Ce 0.974 0.348 0.703
Ce 0.199 0.105 0.496
Ce 0.026 0.652 0.297
Ce 0.500 0.000 0.000
Pb 0.273 0.329 0.125

SG: C2/m (12)
Total energy in eV/atom: -5.365
DOS at the Fermi energy in states/eV/cell: 32.408
Formation energy from the elements in eV per atom: -0.05